[1]
Compound: LaHo3Ga2
Source: Alexandria
Functional: PBE-GGA
Structure: optimized geometry

Lattice parameters (Å, degrees): 16.069 5.176 8.874 90.00 117.26 90.00
Space group C2/m (No. 12)
Unique sites:
La: 0.132 0.000 0.192 x4
Ho: 0.064 0.000 0.716 x4
Ho: 0.120 0.500 0.510 x4
Ho: 0.187 0.500 0.988 x4
Ga: 0.012 0.500 0.150 x4
Ga: 0.223 0.000 0.615 x4

Results
total moment: 0.02 μB per formula unit
mass density: 7.83 g cm⁻³
DOS at the Fermi energy: 5.20 states/eV/f.u.
excess energy over the best structure of this formula in the dataset: 66 meV/atom
formation energy: -0.3429 eV/atom

=====

[2]
Compound: Tb7Dy3
Source: Alexandria
Functional: PBE-GGA
Structure: optimized geometry

Lattice parameters (Å, degrees): 18.077 5.007 7.118 90.00 101.28 90.00
Space group C2/m (No. 12)
Unique sites:
Tb: 0.000 0.000 0.000 x2
Tb: 0.100 0.500 0.300 x4
Tb: 0.100 0.500 0.800 x4
Tb: 0.200 0.000 0.600 x4
Dy: 0.000 0.000 0.500 x2
Dy: 0.200 0.000 0.100 x4

Results
total moment: 0.00 μB per formula unit
mass density: 8.41 g cm⁻³
DOS at the Fermi energy: 12.41 states/eV/f.u.
excess energy over the best structure of this formula in the dataset: 0 meV/atom
formation energy: 0.0136 eV/atom

=====

[3]
Compound: TbSc3Cd2
Source: Alexandria
Functional: PBE-GGA
Structure: optimized geometry

Lattice parameters (Å, degrees): 3.499 3.499 11.884 90.00 90.00 90.00
Space group P4/mmm (No. 123)
Unique sites:
Tb: 0.000 0.000 0.000 x1
Sc: 0.500 0.500 0.196 x2
Sc: 0.500 0.500 0.500 x1
Cd: 0.000 0.000 0.348 x2

Results
total moment: 0.00 μB per formula unit
mass density: 5.92 g cm⁻³
DOS at the Fermi energy: 7.81 states/eV/f.u.
formation energy: -0.1679 eV/atom

=====

[4]
Compound: CrAu3
Source: Alexandria
Functional: PBE-GGA
Structure: optimized geometry

Lattice parameters (Å, degrees): 3.078 4.728 4.857 90.00 90.00 90.00
Space group Pmm2 (No. 25)
Unique sites:
Cr: 0.000 0.000 0.000 x1
Au: 0.000 0.500 0.652 x1
Au: 0.500 0.000 0.498 x1
Au: 0.500 0.500 0.143 x1

Results
total moment: 4.28 μB per formula unit
mass density: 15.11 g cm⁻³
DOS at the Fermi energy: 1.50 states/eV/f.u.
formation energy: 0.1197 eV/atom

=====

[5]
Compound: YTaIr
Source: Alexandria
Functional: PBE-GGA
Structure: optimized geometry

Lattice parameters (Å, degrees): 5.694 10.979 4.277 90.00 90.00 90.00
Space group Cmmm (No. 65)
Unique sites:
Y: 0.000 0.000 0.000 x2
Y: 0.000 0.500 0.500 x2
Ta: 0.250 0.250 0.000 x4
Ir: 0.000 0.198 0.500 x4

Results
total moment: 0.00 μB per formula unit
mass density: 11.48 g cm⁻³
DOS at the Fermi energy: 2.85 states/eV/f.u.
excess energy over the best structure of this formula in the dataset: 299 meV/atom
formation energy: -0.2790 eV/atom

=====

[6]
Compound: YTl2Ru
Source: Alexandria
Functional: PBE-GGA
Structure: optimized geometry

Lattice parameters (Å, degrees): 4.254 3.518 7.109 90.00 107.26 90.00
Space group Pm (No. 6)
Unique sites:
Y: 0.000 0.000 0.000 x1
Tl: 0.290 0.000 0.581 x1
Tl: 0.659 0.500 0.316 x1
Ru: 0.454 0.500 0.907 x1

Results
total moment: 0.00 μB per formula unit
mass density: 9.79 g cm⁻³
DOS at the Fermi energy: 2.24 states/eV/f.u.
excess energy over the best structure of this formula in the dataset: 0 meV/atom
formation energy: 0.0083 eV/atom

=====

[7]
Compound: KCaOs2
Source: Alexandria
Functional: PBE-GGA
Structure: optimized geometry

Lattice parameters (Å, degrees): 2.736 4.968 7.249 90.00 90.00 90.00
Space group Pmmm (No. 47)
Unique sites:
K: 0.000 0.000 0.000 x1
Ca: 0.000 0.000 0.500 x1
Os: 0.500 0.500 0.339 x2

Results
total moment: 0.36 μB per formula unit
mass density: 7.75 g cm⁻³
DOS at the Fermi energy: 3.59 states/eV/f.u.
excess energy over the best structure of this formula in the dataset: 497 meV/atom
formation energy: 0.8882 eV/atom

=====

[8]
Compound: TbBeH2O4
Source: Alexandria
Functional: PBE-GGA
Structure: optimized geometry

Lattice parameters (Å, degrees): 4.302 5.367 5.899 90.00 90.00 90.00
Space group I222 (No. 23)
Unique sites:
Tb: 0.000 0.000 0.000 x2
Be: 0.000 0.000 0.500 x2
H: 0.000 0.500 0.168 x4
O: 0.235 0.368 0.834 x8

Results
uncorrected energy: -100.59 eV/cell
total moment: 0.98 μB per formula unit
mass density: 5.70 g cm⁻³
DOS at the Fermi energy: 2.46 states/eV/f.u.